Version w
Here is MoRu2W at its PBEsol-relaxed geometry from the Alexandria database. Energies are from SCAN.

POSCAR file:
```
MoRu2W
1.0
3.809 0.000 0.000
0.000 3.890 0.000
0.000 0.000 3.890
Mo Ru W
1 2 1
Direct
0.500 0.000 0.000 Mo
0.000 0.000 0.500 Ru
0.000 0.500 0.000 Ru
0.500 0.500 0.500 W
```

SG: P4/mmm (123)

Version x
Here is MoRu2W at its PBEsol-relaxed geometry from the Alexandria database. Energies are from SCAN.

POSCAR file:
```
MoRu2W
1.0
-3.448 -2.583 -0.640
-0.041 -4.028 1.657
-2.647 -0.962 3.323
Ru Mo W
2 1 1
Direct
0.250 0.250 0.250 Ru
0.750 0.750 0.750 Ru
0.000 0.000 0.000 Mo
0.500 0.500 0.500 W
```

SG: Fm-3m (225)

The structure with the most favorable energy is version w; the runner-up is 290 meV per atom above it.